A plane-wave DFT calculation with PBE was carried out for Zr2NbNi after structural relaxation.

Computed properties:
- Energy of formation: -0.075 eV/atom
- Volume: 18.488 Å³ per atom
- E: -8.31 eV/atom
- Symmetry: P4/mmm (123)
- ΔE to the lowest computed polymorph: 72 meV/atom

Geometry as CIF:
```
data_Zr2NbNi
_chemical_formula_sum 'Zr2 Nb1 Ni1'
_symmetry_space_group_name_H-M 'P 1'
_symmetry_Int_Tables_number 1
_symmetry_space_group_name_Hall 'P 1'
_cell_length_a 4.658
_cell_length_b 4.658
_cell_length_c 3.408
_cell_angle_alpha 90.00
_cell_angle_beta 90.00
_cell_angle_gamma 90.00
loop_
_atom_site_label
_atom_site_fract_x
_atom_site_fract_y
_atom_site_fract_z
_atom_site_occupancy
Zr1 0.000 0.500 0.000 1
Zr2 0.500 0.000 0.000 1
Nb1 0.000 0.000 0.500 1
Ni1 0.500 0.500 0.500 1
```

A plane-wave DFT calculation with PBE was carried out for NpNb4 after structural relaxation.

Computed properties:
- Energy of formation: 1.256 eV/atom
- Volume: 22.190 Å³ per atom
- E: -9.39 eV/atom
- Symmetry: Pm-3m (221)

Geometry as CIF:
```
data_NpNb4
_chemical_formula_sum 'Np1 Nb4'
_symmetry_space_group_name_H-M 'P 1'
_symmetry_Int_Tables_number 1
_symmetry_space_group_name_Hall 'P 1'
_cell_length_a 4.805
_cell_length_b 4.805
_cell_length_c 4.805
_cell_angle_alpha 90.00
_cell_angle_beta 90.00
_cell_angle_gamma 90.00
loop_
_atom_site_label
_atom_site_fract_x
_atom_site_fract_y
_atom_site_fract_z
_atom_site_occupancy
Np1 0.000 0.000 0.000 1
Nb1 0.000 0.000 0.500 1
Nb2 0.000 0.500 0.000 1
Nb3 0.500 0.000 0.000 1
Nb4 0.500 0.500 0.500 1
```